## CaTaSi2 (PBE)

Data for a geometry-optimized CaTaSi2 structure.

## Properties
- DFT total energy (eV per atom) = -6.43
- volume (Å³ per atom) = 18.78
- E above lowest polymorph (eV per atom) = 0.000
- crystal system = orthorhombic
- energy relative to the elements, uncorrected (eV per atom) = -0.25
- DOS at the Fermi energy (states/eV/atom) = 0.46

a b c (Å): 3.198 3.619 6.491
angles (deg): 90.00 90.00 90.00
Element x y z (fractional)
Ca 0.000 0.000 0.000
Ta 0.000 0.000 0.500
Si 0.500 0.500 0.309
Si 0.500 0.500 0.691



## Th5MnBi2 (PBE)

Data for a geometry-optimized Th5MnBi2 structure.

## Properties
- DFT total energy (eV per atom) = -7.05
- volume (Å³ per atom) = 30.13
- crystal system = orthorhombic
- E_form (eV/atom) = -0.29
- DOS at the Fermi energy (states/eV/atom) = 1.13

a b c (Å): 8.266 12.742 4.577
angles (deg): 90.00 90.00 90.00
Element x y z (fractional)
Th 0.000 0.000 0.000
Th 0.118 0.311 0.000
Th 0.195 0.557 0.500
Th 0.305 0.057 0.500
Th 0.382 0.811 0.000
Th 0.500 0.500 0.000
Th 0.618 0.189 0.000
Th 0.695 0.943 0.500
Th 0.805 0.443 0.500
Th 0.882 0.689 0.000
Mn 0.000 0.500 0.000
Mn 0.500 0.000 0.000
Bi 0.091 0.821 0.500
Bi 0.409 0.321 0.500
Bi 0.591 0.679 0.500
Bi 0.909 0.179 0.500



## Ac3Np5N12 (PBE)

Data for a geometry-optimized Ac3Np5N12 structure.

## Properties
- DFT total energy (eV per atom) = -9.83
- volume (Å³ per atom) = 17.08
- crystal system = cubic
- energy relative to the elements, uncorrected (eV per atom) = -0.98
- DOS at the Fermi energy (states/eV/atom) = 1.08

a b c (Å): 12.108 12.108 12.108
angles (deg): 109.47 109.47 109.47
Element x y z (fractional)
Ac 0.125 0.250 0.375
Ac 0.125 0.375 0.750
Ac 0.250 0.375 0.125
Ac 0.250 0.875 0.625
Ac 0.375 0.125 0.250
Ac 0.375 0.750 0.125
Ac 0.625 0.250 0.875
Ac 0.625 0.875 0.750
Ac 0.750 0.125 0.375
Ac 0.750 0.625 0.875
Ac 0.875 0.625 0.250
Ac 0.875 0.750 0.625
Np 0.000 0.000 0.000
Np 0.000 0.000 0.500
Np 0.000 0.500 0.000
Np 0.000 0.500 0.500
Np 0.125 0.750 0.875
Np 0.125 0.875 0.250
Np 0.250 0.125 0.875
Np 0.250 0.625 0.375
Np 0.375 0.250 0.625
Np 0.375 0.625 0.750
Np 0.500 0.000 0.000
Np 0.500 0.000 0.500
Np 0.500 0.500 0.000
Np 0.500 0.500 0.500
Np 0.625 0.375 0.250
Np 0.625 0.750 0.375
Np 0.750 0.375 0.625
Np 0.750 0.875 0.125
Np 0.875 0.125 0.750
Np 0.875 0.250 0.125
N 0.021 0.192 0.119
N 0.021 0.329 0.903
N 0.074 0.692 0.671
N 0.074 0.881 0.403
N 0.097 0.619 0.426
N 0.097 0.979 0.671
N 0.119 0.021 0.192
N 0.119 0.597 0.926
N 0.171 0.192 0.574
N 0.171 0.479 0.597
N 0.192 0.119 0.021
N 0.192 0.574 0.171
N 0.308 0.329 0.926
N 0.308 0.479 0.381
N 0.329 0.903 0.021
N 0.329 0.926 0.308
N 0.381 0.308 0.479
N 0.381 0.574 0.903
N 0.403 0.074 0.881
N 0.403 0.829 0.521
N 0.426 0.097 0.619
N 0.426 0.829 0.808
N 0.479 0.381 0.308
N 0.479 0.597 0.171
N 0.521 0.403 0.829
N 0.521 0.619 0.692
N 0.574 0.171 0.192
N 0.574 0.903 0.381
N 0.597 0.171 0.479
N 0.597 0.926 0.119
N 0.619 0.426 0.097
N 0.619 0.692 0.521
N 0.671 0.074 0.692
N 0.671 0.097 0.979
N 0.692 0.521 0.619
N 0.692 0.671 0.074
N 0.808 0.426 0.829
N 0.808 0.881 0.979
N 0.829 0.521 0.403
N 0.829 0.808 0.426
N 0.881 0.403 0.074
N 0.881 0.979 0.808
N 0.903 0.021 0.329
N 0.903 0.381 0.574
N 0.926 0.119 0.597
N 0.926 0.308 0.329
N 0.979 0.671 0.097
N 0.979 0.808 0.881



## PuSiP2N6 (PBE)

Data for a geometry-optimized PuSiP2N6 structure.

## Properties
- DFT total energy (eV per atom) = -8.68
- volume (Å³ per atom) = 12.22
- crystal system = monoclinic
- energy relative to the elements, uncorrected (eV per atom) = -0.62
- DOS at the Fermi energy (states/eV/atom) = 0.80

a b c (Å): 6.953 6.953 5.590
angles (deg): 107.76 107.76 88.89
Element x y z (fractional)
Pu 0.118 0.882 0.750
Pu 0.882 0.118 0.250
Si 0.230 0.770 0.250
Si 0.770 0.230 0.750
P 0.220 0.371 0.814
P 0.371 0.220 0.314
P 0.629 0.780 0.686
P 0.780 0.629 0.186
N 0.002 0.225 0.691
N 0.203 0.610 0.943
N 0.225 0.002 0.191
N 0.265 0.347 0.533
N 0.347 0.265 0.033
N 0.390 0.797 0.557
N 0.610 0.203 0.443
N 0.653 0.735 0.967
N 0.735 0.653 0.467
N 0.775 0.998 0.809
N 0.797 0.390 0.057
N 0.998 0.775 0.309



## Er4MgPt (PBE)

Data for a geometry-optimized Er4MgPt structure.

## Properties
- DFT total energy (eV per atom) = -4.85
- volume (Å³ per atom) = 26.72
- E above lowest polymorph (eV per atom) = 0.000
- crystal system = cubic
- E_form (eV/atom) = -0.53
- DOS at the Fermi energy (states/eV/atom) = 1.14

a b c (Å): 9.680 9.680 9.680
angles (deg): 60.00 60.00 60.00
Element x y z (fractional)
Er 0.184 0.184 0.816
Er 0.184 0.816 0.184
Er 0.184 0.816 0.816
Er 0.401 0.401 0.401
Er 0.401 0.401 0.798
Er 0.401 0.798 0.401
Er 0.561 0.561 0.939
Er 0.561 0.939 0.561
Er 0.561 0.939 0.939
Er 0.798 0.401 0.401
Er 0.816 0.184 0.184
Er 0.816 0.184 0.816
Er 0.816 0.816 0.184
Er 0.939 0.561 0.561
Er 0.939 0.561 0.939
Er 0.939 0.939 0.561
Mg 0.170 0.170 0.170
Mg 0.170 0.170 0.491
Mg 0.170 0.491 0.170
Mg 0.491 0.170 0.170
Pt 0.177 0.608 0.608
Pt 0.608 0.177 0.608
Pt 0.608 0.608 0.177
Pt 0.608 0.608 0.608



## Gd2HoSi (PBE)

Data for a geometry-optimized Gd2HoSi structure.

## Properties
- DFT total energy (eV per atom) = -9.81
- volume (Å³ per atom) = 25.10
- crystal system = tetragonal
- energy relative to the elements, uncorrected (eV per atom) = -0.27
- DOS at the Fermi energy (states/eV/atom) = 1.30

a b c (Å): 4.628 4.628 4.688
angles (deg): 90.00 90.00 90.00
Element x y z (fractional)
Gd 0.000 0.500 0.000
Gd 0.500 0.000 0.000
Ho 0.000 0.000 0.500
Si 0.500 0.500 0.500



## Er4ZnHg3 (PBE)

Data for a geometry-optimized Er4ZnHg3 structure.

## Properties
- DFT total energy (eV per atom) = -3.00
- volume (Å³ per atom) = 24.35
- E above lowest polymorph (eV per atom) = 0.000
- crystal system = tetragonal
- E_form (eV/atom) = -0.44
- DOS at the Fermi energy (states/eV/atom) = 0.95

a b c (Å): 3.634 3.634 14.746
angles (deg): 90.00 90.00 90.00
Element x y z (fractional)
Er 0.000 0.000 0.115
Er 0.000 0.000 0.372
Er 0.000 0.000 0.628
Er 0.000 0.000 0.885
Zn 0.500 0.500 0.000
Hg 0.500 0.500 0.243
Hg 0.500 0.500 0.500
Hg 0.500 0.500 0.757



## Pm2TmHf (PBE)

Data for a geometry-optimized Pm2TmHf structure.

## Properties
- DFT total energy (eV per atom) = -5.82
- volume (Å³ per atom) = 29.46
- E above lowest polymorph (eV per atom) = 0.000
- crystal system = trigonal
- E_form (eV/atom) = 0.16
- DOS at the Fermi energy (states/eV/atom) = 1.47

a b c (Å): 11.491 11.491 11.491
angles (deg): 17.36 17.36 17.36
Element x y z (fractional)
Pm 0.000 0.000 0.000
Pm 0.176 0.176 0.176
Tm 0.755 0.755 0.755
Hf 0.588 0.588 0.588



## ZrCrInB2 (PBE)

Data for a geometry-optimized ZrCrInB2 structure.

## Properties
- DFT total energy (eV per atom) = -5.02
- volume (Å³ per atom) = 18.17
- crystal system = tetragonal
- E_form (eV/atom) = 1.83
- DOS at the Fermi energy (states/eV/atom) = 0.65

a b c (Å): 4.311 4.311 4.889
angles (deg): 90.00 90.00 90.00
Element x y z (fractional)
Zr 0.000 0.000 0.000
Cr 0.500 0.500 0.000
In 0.500 0.500 0.500
B 0.000 0.500 0.500
B 0.500 0.000 0.500



## RbZr2C (PBE)

Data for a geometry-optimized RbZr2C structure.

## Properties
- DFT total energy (eV per atom) = -6.18
- volume (Å³ per atom) = 31.49
- crystal system = tetragonal
- E_form (eV/atom) = 0.64
- DOS at the Fermi energy (states/eV/atom) = 1.23

a b c (Å): 7.088 7.088 7.088
angles (deg): 119.96 119.96 90.06
Element x y z (fractional)
Rb 0.375 0.625 0.750
Rb 0.625 0.375 0.250
Zr 0.000 0.000 0.000
Zr 0.000 0.000 0.500
Zr 0.000 0.500 0.000
Zr 0.500 0.000 0.500
C 0.125 0.875 0.250
C 0.875 0.125 0.750



## Zn2SiSbP (PBE)

Data for a geometry-optimized Zn2SiSbP structure.

## Properties
- DFT total energy (eV per atom) = -2.43
- volume (Å³ per atom) = 26.39
- crystal system = tetragonal
- energy relative to the elements, uncorrected (eV per atom) = 1.07
- DOS at the Fermi energy (states/eV/atom) = 0.29

a b c (Å): 4.968 4.968 5.345
angles (deg): 90.00 90.00 90.00
Element x y z (fractional)
Zn 0.000 0.500 0.000
Zn 0.500 0.000 0.000
Si 0.000 0.000 0.500
Sb 0.000 0.000 0.000
P 0.500 0.500 0.500



## SiBPN4 (PBE)

Data for a geometry-optimized SiBPN4 structure.

## Properties
- DFT total energy (eV per atom) = -7.89
- volume (Å³ per atom) = 9.40
- E above lowest polymorph (eV per atom) = 0.200
- crystal system = monoclinic
- energy relative to the elements, uncorrected (eV per atom) = -0.63
- DOS at the Fermi energy (states/eV/atom) = 0.00

a b c (Å): 4.785 4.785 6.744
angles (deg): 128.17 128.17 33.93
Element x y z (fractional)
Si 0.000 0.000 0.000
B 0.763 0.763 0.451
P 0.599 0.599 0.720
N 0.136 0.136 0.891
N 0.370 0.370 0.485
N 0.564 0.564 0.183
N 0.763 0.763 0.695



## Nd4Tl2Au (PBE)

Data for a geometry-optimized Nd4Tl2Au structure.

## Properties
- DFT total energy (eV per atom) = -4.17
- volume (Å³ per atom) = 32.09
- E above lowest polymorph (eV per atom) = 0.035
- crystal system = monoclinic
- E_form (eV/atom) = -0.30
- DOS at the Fermi energy (states/eV/atom) = 1.12

a b c (Å): 9.157 9.157 7.067
angles (deg): 111.36 111.36 24.11
Element x y z (fractional)
Nd 0.089 0.089 0.442
Nd 0.376 0.376 0.056
Nd 0.624 0.624 0.944
Nd 0.911 0.911 0.558
Tl 0.253 0.253 0.310
Tl 0.747 0.747 0.690
Au 0.000 0.000 0.000



## BaFe2SeN (PBE)

Data for a geometry-optimized BaFe2SeN structure.

## Properties
- DFT total energy (eV per atom) = -6.10
- volume (Å³ per atom) = 20.56
- crystal system = tetragonal
- energy relative to the elements, uncorrected (eV per atom) = 0.03
- DOS at the Fermi energy (states/eV/atom) = 1.20

a b c (Å): 4.188 4.188 5.860
angles (deg): 90.00 90.00 90.00
Element x y z (fractional)
Ba 0.000 0.000 0.000
Fe 0.000 0.500 0.500
Fe 0.500 0.000 0.500
Se 0.500 0.500 0.000
N 0.000 0.000 0.500



## FeIrAu2 (PBE)

Data for a geometry-optimized FeIrAu2 structure.

## Properties
- DFT total energy (eV per atom) = -5.66
- volume (Å³ per atom) = 15.78
- E above lowest polymorph (eV per atom) = 0.193
- crystal system = trigonal
- E_form (eV/atom) = 0.31
- DOS at the Fermi energy (states/eV/atom) = 1.21

a b c (Å): 9.408 9.408 9.408
angles (deg): 17.14 17.14 17.14
Element x y z (fractional)
Fe 0.000 0.000 0.000
Ir 0.500 0.500 0.500
Au 0.254 0.254 0.254
Au 0.746 0.746 0.746



## Ce2Sm3HoS6 (PBE)

Data for a geometry-optimized Ce2Sm3HoS6 structure.

## Properties
- DFT total energy (eV per atom) = -6.64
- volume (Å³ per atom) = 22.52
- crystal system = monoclinic
- energy relative to the elements, uncorrected (eV per atom) = -2.03
- DOS at the Fermi energy (states/eV/atom) = 1.00

a b c (Å): 6.920 6.920 6.919
angles (deg): 99.63 99.63 120.07
Element x y z (fractional)
Ce 0.166 0.834 0.000
Ce 0.834 0.166 0.000
Sm 0.000 0.000 0.500
Sm 0.333 0.667 0.500
Sm 0.667 0.333 0.500
Ho 0.500 0.500 0.000
S 0.091 0.418 0.753
S 0.256 0.256 0.248
S 0.418 0.091 0.753
S 0.582 0.909 0.247
S 0.744 0.744 0.752
S 0.909 0.582 0.247



## SmThGaTe (PBE)

Data for a geometry-optimized SmThGaTe structure.

## Properties
- DFT total energy (eV per atom) = -5.44
- volume (Å³ per atom) = 29.98
- crystal system = trigonal
- energy relative to the elements, uncorrected (eV per atom) = -0.87
- DOS at the Fermi energy (states/eV/atom) = 0.48

a b c (Å): 7.702 7.702 7.702
angles (deg): 32.90 32.90 32.90
Element x y z (fractional)
Sm 0.000 0.000 0.000
Th 0.516 0.516 0.516
Ga 0.257 0.257 0.257
Te 0.756 0.756 0.756



## CaIn2Ni (PBE)

Data for a geometry-optimized CaIn2Ni structure.

## Properties
- DFT total energy (eV per atom) = -3.22
- volume (Å³ per atom) = 29.01
- crystal system = tetragonal
- E_form (eV/atom) = 0.10
- DOS at the Fermi energy (states/eV/atom) = 0.72

a b c (Å): 9.341 9.341 9.341
angles (deg): 147.69 147.69 46.35
Element x y z (fractional)
Ca 0.000 0.000 0.000
Ca 0.750 0.250 0.500
In 0.275 0.625 0.150
In 0.375 0.525 0.650
In 0.475 0.125 0.850
In 0.875 0.725 0.350
Ni 0.250 0.750 0.500
Ni 0.500 0.500 0.000



## Sn5Pt2 (PBE)

Data for a geometry-optimized Sn5Pt2 structure.

## Properties
- DFT total energy (eV per atom) = -4.94
- volume (Å³ per atom) = 24.38
- crystal system = monoclinic
- E_form (eV/atom) = -0.35
- DOS at the Fermi energy (states/eV/atom) = 0.32

a b c (Å): 9.592 9.592 8.011
angles (deg): 98.29 98.29 27.92
Element x y z (fractional)
Sn 0.051 0.555 0.352
Sn 0.162 0.659 0.054
Sn 0.244 0.756 0.750
Sn 0.341 0.838 0.446
Sn 0.445 0.949 0.148
Sn 0.555 0.051 0.852
Sn 0.659 0.162 0.554
Sn 0.756 0.244 0.250
Sn 0.838 0.341 0.946
Sn 0.949 0.445 0.648
Pt 0.099 0.595 0.701
Pt 0.405 0.901 0.799
Pt 0.595 0.099 0.201
Pt 0.901 0.405 0.299



## LiAsCl2 (PBE)

Data for a geometry-optimized LiAsCl2 structure.

## Properties
- DFT total energy (eV per atom) = -3.09
- volume (Å³ per atom) = 23.53
- E above lowest polymorph (eV per atom) = 0.358
- crystal system = orthorhombic
- energy relative to the elements, uncorrected (eV per atom) = -0.52
- DOS at the Fermi energy (states/eV/atom) = 0.13

a b c (Å): 5.449 5.449 5.449
angles (deg): 141.94 98.99 93.23
Element x y z (fractional)
Li 0.000 0.000 0.000
As 0.500 0.500 0.000
Cl 0.245 0.745 0.500
Cl 0.755 0.255 0.500